A:
Compound: TbPm5Nd5
Source: Alexandria
Functional: GGA-PBE
Structure: relaxed

Cell and atoms, written as extended XYZ:
```
11
Lattice="6.2385 0.0000 0.0000 -3.1192 5.4027 0.0000 0.0000 0.0000 11.6562" Properties=species:S:1:pos:R:3 pbc="T T T"
Tb 0.0000 0.0000 0.0000
Pm 0.0000 0.0000 3.7184
Pm 0.0000 0.0000 7.9378
Pm 0.0000 3.6018 1.8459
Pm 0.0000 3.6018 9.8103
Pm 3.1192 1.8009 0.0000
Nd -1.5303 2.7183 5.8281
Nd 1.5303 2.7183 5.8281
Nd 0.0000 5.3688 5.8281
Nd 3.1192 1.8009 3.0767
Nd 3.1192 1.8009 8.5795
```

- space-group type = P-6m2, No. 187


B:
Compound: TbPm5Nd5
Source: Alexandria
Functional: GGA-PBE
Structure: relaxed

Cell and atoms, written as extended XYZ:
```
11
Lattice="7.0406 0.0000 0.0000 2.4256 6.6129 0.0000 2.2152 1.5952 8.3672" Properties=species:S:1:pos:R:3 pbc="T T T"
Tb 0.0000 0.0000 0.0000
Pm 3.7468 4.7264 2.2843
Pm 4.4140 3.0714 5.3356
Pm 3.5203 0.0000 0.0000
Pm 7.2673 5.1367 3.0317
Pm 7.9345 3.4817 6.0829
Nd 1.2128 3.3065 0.0000
Nd 2.1842 1.5457 3.0193
Nd 5.9862 6.2438 6.1362
Nd 5.6951 1.9643 2.2310
Nd 9.4971 6.6625 5.3479
```

- space-group type = P-1, No. 2


B ends up most stable, edging out the next structure by 166 meV per atom.


A:
Compound: TbPm6Nd2
Source: Alexandria
Functional: GGA-PBE
Structure: relaxed

Cell and atoms, written as extended XYZ:
```
9
Lattice="4.7500 -8.9658 0.0000 4.7500 8.9658 0.0000 0.0000 0.0000 3.6569" Properties=species:S:1:pos:R:3 pbc="T T T"
Tb 0.0000 0.0000 0.0000
Pm 3.0774 2.9279 0.0000
Pm 3.0097 0.0000 1.8284
Pm 3.0774 -2.9279 0.0000
Pm 6.4226 2.9279 0.0000
Pm 6.4902 0.0000 1.8284
Pm 6.4226 -2.9279 0.0000
Nd 4.7500 5.7476 1.8284
Nd 4.7500 -5.7476 1.8284
```

- space-group type = Cmmm, No. 65


B:
Compound: TbPm6Nd2
Source: Alexandria
Functional: GGA-PBE
Structure: relaxed

Cell and atoms, written as extended XYZ:
```
18
Lattice="6.4703 -7.3717 0.0000 6.4703 7.3717 0.0000 -1.7763 0.0000 6.5166" Properties=species:S:1:pos:R:3 pbc="T T T"
Tb 5.1381 5.6660 4.8875
Tb 6.0263 -5.6660 1.6292
Pm 0.2619 1.3816 5.3393
Pm 2.8979 2.9447 1.8419
Pm 1.1501 -1.3816 2.0809
Pm 4.2044 2.7428 6.4494
Pm 6.0718 2.7428 3.3256
Pm 2.0097 -2.9447 5.1002
Pm 9.1547 2.9447 1.4164
Pm 5.0926 -2.7428 3.1911
Pm 6.9599 -2.7428 0.0673
Pm 10.0143 1.3816 4.4357
Pm 8.2665 -2.9447 4.6747
Pm 10.9025 -1.3816 1.1774
Nd 3.4840 0.3439 4.1020
Nd 4.3721 -0.3439 0.8437
Nd 6.7923 0.3439 5.6729
Nd 7.6804 -0.3439 2.4146
```

- space-group type = C2/c, No. 15


B ends up most stable, edging out the next structure by 20 meV per atom.